TiInBr2 after structural relaxation. Source: Alexandria via LeMat-Bulk, functional PBE.

Results
total energy	-0.152	hartree per atom
polymorph energy (0 for the lowest one)	0.00	eV per formula unit

Cell and atoms, written as POSCAR:
```
TiInBr2
1.0
1.9932 0.0000 10.2922
-0.9966 1.7262 10.2922
-0.9966 -1.7262 10.2922
Ti Br In
1 2 1
Cartesian
0.0000 0.0000 15.4384 Ti
0.0000 0.0000 27.4532 Br
0.0000 0.0000 3.4236 Br
0.0000 0.0000 0.0000 In
```